# 1
Crystalline RbAcAgS3 at its relaxed geometry. Source: the Alexandria database, functional GGA-PBE.

abc: 7.314 7.314 11.702
angles: 90.00 90.00 144.44
Sites, in units of the cell vectors:
Rb (0.238, 0.762, 0.750)
Rb (0.762, 0.238, 0.250)
Ac (0.500, 0.500, 0.000)
Ac (0.500, 0.500, 0.500)
Ag (0.049, 0.951, 0.250)
Ag (0.951, 0.049, 0.750)
S (0.132, 0.868, 0.061)
S (0.132, 0.868, 0.439)
S (0.455, 0.545, 0.250)
S (0.545, 0.455, 0.750)
S (0.868, 0.132, 0.561)
S (0.868, 0.132, 0.939)

Values from the calculation:
Theoretical density (Mg/m³): 4.7
Formation energy without anion corrections (meV per atom): -1158

=====

# 2
Crystalline FeRh2Br at its relaxed geometry. Source: the Alexandria database, functional GGA-PBE.

abc: 6.058 6.058 6.058
angles: 120.06 120.06 89.90
Sites, in units of the cell vectors:
Fe (0.000, 0.000, 0.000)
Fe (0.750, 0.250, 0.500)
Rh (0.085, 0.625, 0.960)
Rh (0.375, 0.335, 0.460)
Rh (0.665, 0.125, 0.040)
Rh (0.875, 0.915, 0.540)
Br (0.250, 0.750, 0.500)
Br (0.500, 0.500, 0.000)

Values from the calculation:
Theoretical density (Mg/m³): 7.2
Formation energy without anion corrections (meV per atom): 863

=====

# 3
Crystalline CuHgTe2 at its relaxed geometry. Source: the Alexandria database, functional GGA-PBE.

abc: 8.601 8.601 8.601
angles: 27.70 27.70 27.70
Sites, in units of the cell vectors:
Cu (0.000, 0.000, 0.000)
Hg (0.500, 0.500, 0.500)
Te (0.388, 0.388, 0.388)
Te (0.612, 0.612, 0.612)

Values from the calculation:
Theoretical density (Mg/m³): 7.1
Formation energy without anion corrections (meV per atom): 44

=====

# 4
Crystalline Ca4Sn2O at its relaxed geometry. Source: the Alexandria database, functional GGA-PBE.

abc: 7.796 7.796 4.749
angles: 90.00 90.00 143.15
Sites, in units of the cell vectors:
Ca (0.000, 0.000, 0.000)
Ca (0.167, 0.833, 0.500)
Ca (0.500, 0.500, 0.500)
Ca (0.833, 0.167, 0.500)
Sn (0.343, 0.657, 0.000)
Sn (0.657, 0.343, 0.000)
O (0.000, 0.000, 0.500)

Values from the calculation:
Theoretical density (Mg/m³): 4.0
Formation energy without anion corrections (meV per atom): -1236